(1)
Computed, not measured: crystalline Ce3Er4Se8 at its relaxed geometry at the GGA-PBE level of DFT.

Results
* raw formation energy: -174 kJ per mole of atoms

a = 11.610 Å, b = 11.625 Å, c = 8.180 Å
α = 90.00°, β = 134.69°, γ = 90.00°
Space group C2/m (No. 12)
Symmetry-distinct sites (fractional):
Ce  0.000  0.000  0.000 x2
Ce  0.250  0.250  0.000 x4
Er  0.000  0.500  0.000 x2
Er  0.000  0.500  0.500 x2
Er  0.250  0.250  0.500 x4
Se  0.000  0.251  0.500 x4
Se  0.000  0.255  0.000 x4
Se  0.243  0.500  0.996 x4
Se  0.245  0.500  0.491 x4

(2)
Computed, not measured: crystalline CeErSe at its relaxed geometry at the GGA-PBE level of DFT.

Results
* raw formation energy: -84 kJ per mole of atoms
* energy above the lowest structure with this stoichiometry: 153.5 meV per atom

a = 3.586 Å, b = 3.586 Å, c = 12.472 Å
α = 90.00°, β = 90.00°, γ = 90.00°
Space group I4mm (No. 107)
Symmetry-distinct sites (fractional):
Ce  0.000  0.000  0.000 x2
Er  0.000  0.000  0.717 x2
Se  0.000  0.000  0.351 x2

(3)
Computed, not measured: crystalline Ce5Er3Se8 at its relaxed geometry at the GGA-PBE level of DFT.

Results
* raw formation energy: -172 kJ per mole of atoms

a = 8.2496 Å, b = 8.2496 Å, c = 20.4204 Å
α = 90.00°, β = 90.00°, γ = 120.00°
Space group R-3m (No. 166, hexagonal axes)
Symmetry-distinct sites (fractional):
Ce  0.0000  0.0000  0.0000 x3
Ce  0.0000  0.0000  0.5000 x3
Ce  0.0000  0.5000  0.0000 x9
Er  0.0000  0.5000  0.5000 x9
Se  0.0000  0.0000  0.2450 x6
Se  0.0069  0.5034  0.7535 x18

(4)
Computed, not measured: crystalline Ce4Er3Se8 at its relaxed geometry at the GGA-PBE level of DFT.

Results
* raw formation energy: -173 kJ per mole of atoms
* energy above the lowest structure with this stoichiometry: 0.0 meV per atom

a = 11.638 Å, b = 11.649 Å, c = 8.230 Å
α = 90.00°, β = 134.89°, γ = 90.00°
Space group C2/m (No. 12)
Symmetry-distinct sites (fractional):
Ce  0.000  0.000  0.000 x2
Ce  0.000  0.500  0.500 x2
Ce  0.250  0.250  0.000 x4
Er  0.000  0.500  0.000 x2
Er  0.250  0.250  0.500 x4
Se  0.000  0.243  0.500 x4
Se  0.000  0.255  0.000 x4
Se  0.248  0.000  0.510 x4
Se  0.249  0.000  0.987 x4

(5)
Computed, not measured: crystalline Ce2ErSe4 at its relaxed geometry at the GGA-PBE level of DFT.

Results
* raw formation energy: -169 kJ per mole of atoms
* energy above the lowest structure with this stoichiometry: 41.1 meV per atom

a = 3.994 Å, b = 13.930 Å, c = 14.065 Å
α = 90.00°, β = 90.00°, γ = 90.00°
Space group Cmcm (No. 63)
Symmetry-distinct sites (fractional):
Ce  0.000  0.133  0.071 x8
Er  0.000  0.375  0.250 x4
Se  0.000  0.022  0.250 x4
Se  0.000  0.218  0.627 x8
Se  0.000  0.500  0.000 x4

(6)
Computed, not measured: crystalline CeEr3Se6 at its relaxed geometry at the GGA-PBE level of DFT.

Results
* raw formation energy: -180 kJ per mole of atoms

a = 11.565 Å, b = 4.114 Å, c = 11.834 Å
α = 90.00°, β = 109.10°, γ = 90.00°
Space group P2_1/m (No. 11)
Symmetry-distinct sites (fractional):
Ce  0.048  0.250  0.195 x2
Er  0.159  0.250  0.586 x2
Er  0.319  0.750  0.001 x2
Er  0.439  0.250  0.334 x2
Se  0.083  0.750  0.406 x2
Se  0.118  0.250  0.965 x2
Se  0.197  0.750  0.751 x2
Se  0.262  0.750  0.227 x2
Se  0.393  0.250  0.559 x2
Se  0.480  0.250  0.114 x2

(7)
Computed, not measured: crystalline CeEr2Se4 at its relaxed geometry at the GGA-PBE level of DFT.

Results
* raw formation energy: -178 kJ per mole of atoms
* energy above the lowest structure with this stoichiometry: 7.0 meV per atom

a = 4.036 Å, b = 13.360 Å, c = 13.777 Å
α = 90.00°, β = 90.00°, γ = 90.00°
Space group Cmcm (No. 63)
Symmetry-distinct sites (fractional):
Ce  0.000  0.120  0.250 x4
Er  0.000  0.368  0.066 x8
Se  0.000  0.000  0.000 x4
Se  0.000  0.272  0.620 x8
Se  0.000  0.456  0.250 x4

(8)
Computed, not measured: crystalline Ce2ErSe5 at its relaxed geometry at the GGA-PBE level of DFT.

Results
* raw formation energy: -168 kJ per mole of atoms

a = 8.077 Å, b = 12.258 Å, c = 4.155 Å
α = 90.00°, β = 90.00°, γ = 90.00°
Space group Pbam (No. 55)
Symmetry-distinct sites (fractional):
Ce  0.030  0.178  0.000 x4
Er  0.000  0.500  0.500 x2
Se  0.000  0.000  0.500 x2
Se  0.176  0.401  0.000 x4
Se  0.180  0.699  0.500 x4

(9)
Computed, not measured: crystalline Ce6ErSe12 at its relaxed geometry at the GGA-PBE level of DFT.

Results
* raw formation energy: -167 kJ per mole of atoms

a = 12.8269 Å, b = 12.8269 Å, c = 11.8344 Å
α = 90.00°, β = 90.00°, γ = 120.00°
Space group R-3 (No. 148, hexagonal axes)
Symmetry-distinct sites (fractional):
Ce  0.0514  0.2700  0.1467 x18
Er  0.0000  0.0000  0.5000 x3
Se  0.0352  0.2181  0.8955 x18
Se  0.0477  0.2096  0.3855 x18

(10)
Computed, not measured: crystalline CeEr2Se5 at its relaxed geometry at the GGA-PBE level of DFT.

Results
* raw formation energy: -161 kJ per mole of atoms

a = 7.591 Å, b = 7.591 Å, c = 13.062 Å
α = 90.00°, β = 90.00°, γ = 90.00°
Space group I4/mcm (No. 140)
Symmetry-distinct sites (fractional):
Ce  0.000  0.000  0.250 x4
Er  0.156  0.344  0.000 x8
Se  0.000  0.000  0.000 x4
Se  0.157  0.343  0.352 x16

(11)
Computed, not measured: crystalline CeEr4Se5 at its relaxed geometry at the GGA-PBE level of DFT.

Results
* raw formation energy: -152 kJ per mole of atoms

a = 14.887 Å, b = 3.888 Å, c = 10.546 Å
α = 90.00°, β = 126.38°, γ = 90.00°
Space group C2/m (No. 12)
Symmetry-distinct sites (fractional):
Ce  0.000  0.000  0.000 x2
Er  0.111  0.000  0.420 x4
Er  0.210  0.500  0.784 x4
Se  0.000  0.500  0.500 x2
Se  0.120  0.000  0.869 x4
Se  0.167  0.500  0.266 x4

(12)
Computed, not measured: crystalline CeErSe at its relaxed geometry at the GGA-PBE level of DFT.

Results
* raw formation energy: -95 kJ per mole of atoms
* energy above the lowest structure with this stoichiometry: 39.9 meV per atom

a = 3.8507 Å, b = 3.8507 Å, c = 6.7148 Å
α = 90.00°, β = 90.00°, γ = 120.00°
Space group P3m1 (No. 156)
Symmetry-distinct sites (fractional):
Ce  0.0000  0.0000  0.0000 x1
Er  0.3333  0.6667  0.5571 x1
Se  0.6667  0.3333  0.2917 x1

The lowest raw formation energy belongs to which entry? CeEr3Se6